1.
Ba3CaW2N6: optimized geometry, PBE-GGA.

Its density of states at the Fermi level is 0.19 states/eV per atom. Its total energy is -7.67 eV per atom. The calculation puts the uncorrected formation energy at -0.703 eV per atom. As for the magnetic moment: 1.332 μB/f.u.

It has space group P-3m1 (No. 164), with a = 6.2536 Å, b = 6.2536 Å, c = 7.4304 Å, α = 90.00°, β = 90.00° and γ = 120.00°. The distinct sites, in fractional coordinates, are Ba at (0.0000, 0.0000, 0.0000), Ba at (0.3333, 0.6667, 0.6632), Ca at (0.0000, 0.0000, 0.5000), W at (0.3333, 0.6667, 0.2025) and N at (0.1750, 0.3500, 0.2899).

---

2.
Pu2BeGe6Pd: optimized geometry, PBE-GGA.

Its density of states at the Fermi level is 1.81 states/eV per atom. The calculation puts the formation energy at -113 meV per atom. Its total energy is -6.64 eV per atom. As for the magnetic moment: 10.536 μB/f.u.

It has space group Pmmn (No. 59, origin choice 2), with a = 5.577 Å, b = 8.827 Å, c = 8.471 Å, α = 90.00°, β = 90.00° and γ = 90.00°. The distinct sites, in fractional coordinates, are Pu at (0.250, 0.059, 0.124), Be at (0.250, 0.750, 0.894), Ge at (0.010, 0.750, 0.126), Ge at (0.015, 0.750, 0.623), Ge at (0.250, 0.508, 0.746) and Pd at (0.250, 0.250, 0.612).

---

3.
Sm14ScCd: optimized geometry, PBE-GGA.

Its density of states at the Fermi level is 1.26 states/eV per atom. The calculation puts the formation energy at -4 meV per atom. Its total energy is -4.59 eV per atom. As for the magnetic moment: 0.000 μB/f.u.

It has space group Amm2 (No. 38), with a = 10.165 Å, b = 10.061 Å, c = 10.065 Å, α = 90.00°, β = 90.00° and γ = 90.00°. The distinct sites, in fractional coordinates, are Sm at (0.000, 0.000, 0.000), Sm at (0.000, 0.000, 0.500), Sm at (0.000, 0.249, 0.250), Sm at (0.255, 0.000, 0.749), Sm at (0.256, 0.249, 0.500), Sm at (0.257, 0.000, 0.251), Sm at (0.500, 0.248, 0.750), Sc at (0.500, 0.000, 0.500) and Cd at (0.500, 0.000, 0.000).

---

4.
Pd2RhSe3: optimized geometry, PBE-GGA.

Its density of states at the Fermi level is 0.68 states/eV per atom. Its total energy is -4.94 eV per atom. The calculation puts the uncorrected formation energy at -0.242 eV per atom. As for the magnetic moment: 0.000 μB/f.u.

It has space group C2/c (No. 15), with a = 10.209 Å, b = 6.501 Å, c = 7.306 Å, α = 90.00°, β = 95.74° and γ = 90.00°. The distinct sites, in fractional coordinates, are Pd at (0.118, 0.175, 0.475), Rh at (0.000, 0.440, 0.750), Se at (0.000, 0.064, 0.750) and Se at (0.165, 0.457, 0.032).

---

5.
BeW: optimized geometry, PBE-GGA.

Its density of states at the Fermi level is 0.20 states/eV per atom. The calculation puts the formation energy at -228 meV per atom. The calculation puts the energy above the most stable polymorph in this dataset at 0.000 eV/atom. Its total energy is -8.57 eV per atom. As for the magnetic moment: 0.000 μB/f.u.

It has space group P2_1/m (No. 11), with a = 3.235 Å, b = 3.261 Å, c = 4.699 Å, α = 90.00°, β = 110.09° and γ = 90.00°. The distinct sites, in fractional coordinates, are Be at (0.067, 0.250, 0.136) and W at (0.347, 0.250, 0.692).

---

6.
Nd4In3Hg: optimized geometry, PBE-GGA.

Its density of states at the Fermi level is 0.70 states/eV per atom. The calculation puts the formation energy at -487 meV per atom. Its total energy is -3.94 eV per atom. As for the magnetic moment: 0.000 μB/f.u.

It has space group P4/mmm (No. 123), with a = 3.662 Å, b = 3.662 Å, c = 17.155 Å, α = 90.00°, β = 90.00° and γ = 90.00°. The distinct sites, in fractional coordinates, are Nd at (0.000, 0.000, 0.123), Nd at (0.000, 0.000, 0.375), In at (0.500, 0.500, 0.248), In at (0.500, 0.500, 0.500) and Hg at (0.500, 0.500, 0.000).

---

7.
LiHfMg2: optimized geometry, PBE-GGA.

Its density of states at the Fermi level is 0.87 states/eV per atom. The calculation puts the formation energy at 60 meV per atom. The calculation puts the energy above the most stable polymorph in this dataset at 0.000 eV/atom. Its total energy is -3.70 eV per atom. As for the magnetic moment: 0.242 μB/f.u.

It has space group P4/mmm (No. 123), with a = 3.104 Å, b = 3.104 Å, c = 8.799 Å, α = 90.00°, β = 90.00° and γ = 90.00°. The distinct sites, in fractional coordinates, are Li at (0.000, 0.000, 0.000), Hf at (0.000, 0.000, 0.500) and Mg at (0.500, 0.500, 0.242).

---

8.
BeZnCl2: optimized geometry, PBE-GGA.

Its density of states at the Fermi level is 0.43 states/eV per atom. The calculation puts the energy above the most stable polymorph in this dataset at 0.765 eV/atom. Its total energy is -2.07 eV per atom. The calculation puts the uncorrected formation energy at 0.105 eV per atom. As for the magnetic moment: 0.659 μB/f.u.

It has space group C2/m (No. 12), with a = 7.082 Å, b = 7.079 Å, c = 3.197 Å, α = 90.00°, β = 90.27° and γ = 90.00°. The distinct sites, in fractional coordinates, are Be at (0.000, 0.000, 0.000), Zn at (0.000, 0.500, 0.000) and Cl at (0.250, 0.250, 0.000).

---

9.
KOsCl2: optimized geometry, PBE-GGA.

Its density of states at the Fermi level is 0.59 states/eV per atom. The calculation puts the energy above the most stable polymorph in this dataset at 0.398 eV/atom. Its total energy is -3.74 eV per atom. The calculation puts the uncorrected formation energy at 0.260 eV per atom. As for the magnetic moment: 1.997 μB/f.u.

It has space group Imm2 (No. 44), with a = 3.099 Å, b = 4.088 Å, c = 14.401 Å, α = 90.00°, β = 90.00° and γ = 90.00°. The distinct sites, in fractional coordinates, are K at (0.000, 0.000, 0.000), Os at (0.000, 0.500, 0.722), Cl at (0.000, 0.000, 0.392) and Cl at (0.000, 0.500, 0.198).

---

10.
MnCr2Re: optimized geometry, PBE-GGA.

Its density of states at the Fermi level is 0.92 states/eV per atom. The calculation puts the formation energy at 94 meV per atom. Its total energy is -10.12 eV per atom. As for the magnetic moment: 1.695 μB/f.u.

It has space group Cmm2 (No. 35), with a = 2.968 Å, b = 4.209 Å, c = 8.096 Å, α = 90.00°, β = 90.00° and γ = 90.00°. The distinct sites, in fractional coordinates, are Mn at (0.000, 0.000, 0.000), Cr at (0.000, 0.000, 0.525), Cr at (0.000, 0.500, 0.762) and Re at (0.000, 0.500, 0.262).

---

11.
CdNiP2: optimized geometry, PBE-GGA.

Its density of states at the Fermi level is 0.64 states/eV per atom. The calculation puts the formation energy at 329 meV per atom. Its total energy is -4.05 eV per atom. As for the magnetic moment: 0.000 μB/f.u.

It has space group Imm2 (No. 44), with a = 3.149 Å, b = 5.076 Å, c = 8.018 Å, α = 90.00°, β = 90.00° and γ = 90.00°. The distinct sites, in fractional coordinates, are Cd at (0.000, 0.000, 0.000), Ni at (0.000, 0.500, 0.791), P at (0.000, 0.000, 0.494) and P at (0.000, 0.500, 0.202).

---

12.
Ce3Pm2Sn4: optimized geometry, PBE-GGA.

Its density of states at the Fermi level is 1.94 states/eV per atom. The calculation puts the formation energy at -464 meV per atom. Its total energy is -5.28 eV per atom. As for the magnetic moment: 3.046 μB/f.u.

It has space group Cmce (No. 64), with a = 6.811 Å, b = 17.689 Å, c = 9.280 Å, α = 90.00°, β = 90.00° and γ = 90.00°. The distinct sites, in fractional coordinates, are Ce at (0.000, 0.000, 0.000), Ce at (0.250, 0.207, 0.250), Pm at (0.000, 0.108, 0.586), Sn at (0.000, 0.178, 0.941) and Sn at (0.250, 0.032, 0.250).